1.
VASP calculation (GGA-PBE) on Pa3PdS6 after structural relaxation.

a = 6.3907 Å, b = 8.3896 Å, c = 8.3896 Å
α = 100.54°, β = 90.00°, γ = 90.00°
With the nearest neighbours (Å) after each atom.
Element x y z (fractional)
S 0.1566 0.7694 0.2306  1 Pd 2.61, 3 Pa 2.74-2.77
Pa 0.9696 0.0679 0.2703  7 S 2.74-2.81
Pa 0.4696 0.9321 0.7297  7 S 2.74-2.81
S 0.7132 0.9123 0.4566  1 Pd 2.41
S 0.6710 0.3019 0.3700  4 Pa 2.76-2.84
Pa 0.8727 0.6071 0.3929  7 S 2.72-2.84
S 0.6710 0.6300 0.6981  4 Pa 2.76-2.84
Pd 0.0591 0.1968 0.8032  4 S 2.41-2.61
S 0.6894 0.9786 0.0214  1 Pd 2.41
S 0.7132 0.5434 0.0877  1 Pd 2.41
S 0.2132 0.4566 0.9123  1 Pd 2.41
Pa 0.9696 0.7297 0.9321  7 S 2.74-2.81
Pd 0.5591 0.8032 0.1968  4 S 2.41-2.61
S 0.1894 0.0214 0.9786  1 Pd 2.41
Pa 0.3727 0.3929 0.6071  7 S 2.72-2.84
S 0.1710 0.6981 0.6300  4 Pa 2.76-2.84
S 0.2132 0.0877 0.5434  1 Pd 2.41
S 0.1710 0.3700 0.3019  4 Pa 2.76-2.84
Pa 0.4696 0.2703 0.0679  7 S 2.74-2.81
S 0.6566 0.2306 0.7694  1 Pd 2.61, 3 Pa 2.74-2.77

Summary:
Space group: Cmc2_1, No. 36
Relative energy among the computed polymorphs in meV/atom: 0
ΔE_f (raw) in eV/atom: -1.47


2.
VASP calculation (GGA-PBE) on PaPdS after structural relaxation.

a = 3.5897 Å, b = 3.5897 Å, c = 5.1108 Å
α = 110.56°, β = 110.56°, γ = 90.00°
With the nearest neighbours (Å) after each atom.
Element x y z (fractional)
S 0.6211 0.6211 0.2423  5 Pa 2.90-3.03, 5 Pd 2.91-2.96
Pd 0.9493 0.9493 0.8986  5 S 2.91-2.96, 5 Pa 2.93-2.95
Pa 0.2796 0.2796 0.5591  5 S 2.90-3.03, 5 Pd 2.93-2.95

Summary:
Space group: I4mm, No. 107
Relative energy among the computed polymorphs in meV/atom: 3
ΔE_f (raw) in eV/atom: -0.90


3.
VASP calculation (GGA-PBE) on PaPdS after structural relaxation.

a = 4.3956 Å, b = 4.3956 Å, c = 8.5632 Å
α = 75.13°, β = 75.13°, γ = 60.00°
With the nearest neighbours (Å) after each atom.
Element x y z (fractional)
Pa 0.7559 0.7559 0.7323  4 S 2.70-2.87, 4 Pd 2.91-2.93
Pd 0.6374 0.6374 0.0878  4 Pa 2.91-2.93, 3 Pd 2.92
S 0.1273 0.1273 0.6182  4 Pa 2.70-2.87
Pa 0.2441 0.2441 0.2677  4 S 2.70-2.87, 4 Pd 2.91-2.93
Pd 0.3626 0.3626 0.9122  4 Pa 2.91-2.93, 3 Pd 2.92
S 0.8727 0.8727 0.3818  4 Pa 2.70-2.87

Summary:
Space group: R-3m, No. 166
Relative energy among the computed polymorphs in meV/atom: 0
ΔE_f (raw) in eV/atom: -0.91


4.
VASP calculation (GGA-PBE) on Pa2PdS6 after structural relaxation.

a = 6.3773 Å, b = 6.3773 Å, c = 11.1444 Å
α = 90.00°, β = 90.00°, γ = 90.00°
With the nearest neighbours (Å) after each atom.
Element x y z (fractional)
Pa 0.5000 0.5000 0.1753  6 S 2.57-2.78
Pd 0.0000 0.0000 0.0000  4 S 2.42
S 0.8144 0.1856 0.5000  2 Pa 2.57, 1 Pd 2.84
S 0.6936 0.6936 0.3498  1 Pd 2.42, 1 Pa 2.61
S 0.1856 0.8144 0.5000  2 Pa 2.57, 1 Pd 2.84
S 0.3064 0.3064 0.3498  1 Pd 2.42, 1 Pa 2.61
Pa 0.0000 0.0000 0.6753  6 S 2.57-2.78
S 0.3064 0.3064 0.6502  1 Pd 2.42, 1 Pa 2.61
Pd 0.5000 0.5000 0.5000  4 S 2.42
S 0.6936 0.6936 0.6502  1 Pd 2.42, 1 Pa 2.61
S 0.1936 0.8064 0.8498  1 Pd 2.42, 1 Pa 2.61
Pa 0.5000 0.5000 0.8247  6 S 2.57-2.78
S 0.1936 0.8064 0.1502  1 Pd 2.42, 1 Pa 2.61
S 0.8064 0.1936 0.8498  1 Pd 2.42, 1 Pa 2.61
S 0.8064 0.1936 0.1502  1 Pd 2.42, 1 Pa 2.61
S 0.6856 0.6856 0.0000  2 Pa 2.57, 1 Pd 2.84
S 0.3144 0.3144 0.0000  2 Pa 2.57, 1 Pd 2.84
Pa 0.0000 0.0000 0.3247  6 S 2.57-2.78

Summary:
Space group: P4_2/mnm, No. 136
Relative energy among the computed polymorphs in meV/atom: 74
ΔE_f (raw) in eV/atom: -1.14


5.
VASP calculation (GGA-PBE) on Pa2PdS6 after structural relaxation.

a = 6.3572 Å, b = 6.7168 Å, c = 9.7639 Å
α = 90.00°, β = 101.88°, γ = 90.00°
With the nearest neighbours (Å) after each atom.
Element x y z (fractional)
S 0.8157 0.6779 0.0978  1 Pd 2.36
S 0.8193 0.6911 0.4423  1 Pd 2.38
Pa 0.4624 0.1166 0.7798  7 S 2.60-2.87
S 0.1807 0.3089 0.5577  1 Pd 2.38
S 0.6843 0.1779 0.4022  1 Pd 2.36
S 0.1875 0.0788 0.2304  2 Pa 2.60
S 0.3157 0.8221 0.5978  1 Pd 2.36
S 0.6875 0.4212 0.7304  2 Pa 2.60
Pd 0.0000 0.0000 0.5000  4 S 2.36-2.38
S 0.1843 0.3221 0.9022  1 Pd 2.36
Pa 0.9624 0.3834 0.2798  7 S 2.60-2.87
S 0.3125 0.5788 0.2696  2 Pa 2.60
Pa 0.5376 0.8834 0.2202  7 S 2.60-2.87
Pa 0.0376 0.6166 0.7202  7 S 2.60-2.87
S 0.3193 0.8089 0.9423  1 Pd 2.38
S 0.8125 0.9212 0.7696  2 Pa 2.60
Pd 0.5000 0.5000 0.0000  4 S 2.36-2.38
S 0.6807 0.1911 0.0577  1 Pd 2.38

Summary:
Space group: P2_1/c, No. 14
Relative energy among the computed polymorphs in meV/atom: 0
ΔE_f (raw) in eV/atom: -1.21


6.
VASP calculation (GGA-PBE) on Pa2Pd2S7 after structural relaxation.

a = 8.6713 Å, b = 8.6713 Å, c = 8.6713 Å
α = 60.00°, β = 60.00°, γ = 60.00°
With the nearest neighbours (Å) after each atom.
Element x y z (fractional)
S 0.7751 0.7751 0.2249  2 Pd 2.49
Pa 0.6250 0.6250 0.1250  8 S 2.66-2.84
S 0.5000 0.5000 0.5000  4 Pa 2.66
Pd 0.1250 0.1250 0.1250  6 S 2.49
Pa 0.1250 0.6250 0.6250  8 S 2.66-2.84
S 0.4749 0.4749 0.0251  2 Pd 2.49
S 0.4749 0.0251 0.4749  2 Pd 2.49
Pd 0.6250 0.1250 0.1250  6 S 2.49
S 0.4749 0.0251 0.0251  2 Pd 2.49
Pa 0.6250 0.1250 0.6250  8 S 2.66-2.84
S 0.2249 0.7751 0.7751  2 Pd 2.49
S 0.7751 0.2249 0.2249  2 Pd 2.49
S 0.7500 0.7500 0.7500  4 Pa 2.66
Pa 0.6250 0.6250 0.6250  8 S 2.66-2.84
S 0.2249 0.7751 0.2249  2 Pd 2.49
Pd 0.1250 0.1250 0.6250  6 S 2.49
S 0.2249 0.2249 0.7751  2 Pd 2.49
S 0.0251 0.4749 0.0251  2 Pd 2.49
S 0.7751 0.2249 0.7751  2 Pd 2.49
S 0.0251 0.0251 0.4749  2 Pd 2.49
Pd 0.1250 0.6250 0.1250  6 S 2.49
S 0.0251 0.4749 0.4749  2 Pd 2.49

Summary:
Space group: Fd-3m, No. 227
Relative energy among the computed polymorphs in meV/atom: 0
ΔE_f (raw) in eV/atom: -0.96